Entry 1:
First-principles (meta-GGA SCAN) data for Y2MoRu at its PBEsol-relaxed geometry, as listed in Alexandria.

Summary:
Density of states at the Fermi level   0.89 states/eV/atom
Symmetry   C2/m (12)
E above lowest polymorph   30 meV per atom
M_tot   0.00 μB per cell
E_form   0.367 eV/atom
E   -30.98 eV/atom

a b c (Å): 3.0971 5.3671 5.3671
angles (deg): 110.95 102.11 102.11
Fractional coordinates of all 4 atoms:
Mo 0.5000 0.0000 0.0000
Ru 0.5000 0.5000 0.5000
Y 0.0000 0.5000 0.0000
Y 0.0000 0.0000 0.5000

***

Entry 2:
First-principles (meta-GGA SCAN) data for YMoRu2 at its PBEsol-relaxed geometry, as listed in Alexandria.

Summary:
Density of states at the Fermi level   0.95 states/eV/atom
Symmetry   C2/m (12)
E above lowest polymorph   351 meV per atom
M_tot   0.00 μB per cell
E_form   0.258 eV/atom
E   -32.84 eV/atom

a b c (Å): 2.8503 5.0927 5.0927
angles (deg): 110.84 101.10 101.10
Fractional coordinates of all 4 atoms:
Mo 0.5000 0.0000 0.0000
Ru 0.0000 0.0000 0.5000
Ru 0.0000 0.5000 0.0000
Y 0.5000 0.5000 0.5000

***

Entry 3:
First-principles (meta-GGA SCAN) data for ZnMo2Ru at its PBEsol-relaxed geometry, as listed in Alexandria.

Summary:
Density of states at the Fermi level   0.51 states/eV/atom
Symmetry   R-3m (166)
M_tot   0.00 μB per cell
E_form   0.157 eV/atom
E   -29.37 eV/atom

a b c (Å): 2.7294 2.7294 9.1146
angles (deg): 81.39 81.39 60.00
Fractional coordinates of all 4 atoms:
Mo 0.2477 0.2477 0.2568
Mo 0.7523 0.7523 0.7432
Ru 0.5000 0.5000 0.5000
Zn 0.0000 0.0000 0.0000